# Dy3Ho5Er4, relaxed, DFT PBE
# ΔE to the lowest computed polymorph = 0 meV per atom
# E_form = 0.020 eV/atom
# Size of the total moment = 0.00 μB per cell
# DOS at the Fermi energy = 15.5 states/eV/cell
# Crystal system = triclinic
data_Dy3Ho5Er4
_chemical_formula_sum 'Dy3 Ho5 Er4'
_cell_length_a 7.0320
_cell_length_b 11.1057
_cell_length_c 12.6612
_cell_angle_alpha 151.28
_cell_angle_beta 56.33
_cell_angle_gamma 129.28
_symmetry_space_group_name_H-M 'P 1'
_symmetry_Int_Tables_number 1
_symmetry_space_group_name_Hall 'P 1'
loop_
_atom_site_label
_atom_site_fract_x
_atom_site_fract_y
_atom_site_fract_z
_atom_site_occupancy
Dy1 0.5840 0.1671 0.3335 1
Dy2 0.0000 0.0000 0.5000 1
Dy3 0.4160 0.8329 0.6665 1
Ho1 0.3338 0.6670 0.8335 1
Ho2 0.5000 0.0000 0.5000 1
Ho3 0.7496 0.5002 0.0003 1
Ho4 0.2504 0.4998 0.9997 1
Ho5 0.6662 0.3330 0.1665 1
Er1 0.9167 0.8333 0.6669 1
Er2 0.8337 0.6670 0.8334 1
Er3 0.1663 0.3330 0.1666 1
Er4 0.0833 0.1667 0.3331 1

# Mg2BeFeS, relaxed, DFT PBE
# Size of the total moment = 2.97 μB per cell
# Energy relative to the elements, uncorrected = 0.610 eV/atom
# DOS at the Fermi energy = 3.3 states/eV/cell
# Crystal system = tetragonal
data_Mg2BeFeS
_chemical_formula_sum 'Mg2 Be1 Fe1 S1'
_cell_length_a 5.0343
_cell_length_b 3.7320
_cell_length_c 5.0343
_cell_angle_alpha 90.00
_cell_angle_beta 90.00
_cell_angle_gamma 90.00
_symmetry_space_group_name_H-M 'P 1'
_symmetry_Int_Tables_number 1
_symmetry_space_group_name_Hall 'P 1'
loop_
_atom_site_label
_atom_site_fract_x
_atom_site_fract_y
_atom_site_fract_z
_atom_site_occupancy
Mg1 0.0000 0.0000 0.5000 1
Mg2 0.5000 0.0000 0.0000 1
Be1 0.0000 0.0000 0.0000 1
S1 0.0000 0.5000 0.0000 1
Fe1 0.5000 0.5000 0.5000 1

Q: What is the DOS at the Fermi energy in the second record?
A: 3.3 states/eV/cell

Q: Which of these has the highest size of the total moment?
A: Mg2BeFeS

Q: Among the records above, which one has the lowest size of the total moment?
A: Dy3Ho5Er4